Entry 1:
A relaxed CoMoP2 crystal. Source: the Open Quantum Materials Database, functional PBE.

SG   P6_3/mmc, No. 194
DFT total energy   -62.55 eV per cell

a = 3.296 Å, b = 3.296 Å, c = 11.190 Å
α = 90.00°, β = 90.00°, γ = 120.00°
Element x y z (fractional)
P 0.667 0.333 0.891
P 0.667 0.333 0.609
P 0.333 0.667 0.391
P 0.333 0.667 0.109
Mo 0.000 0.000 0.250
Mo 0.000 0.000 0.750
Co 0.000 0.000 0.000
Co 0.000 0.000 0.500



Entry 2:
A relaxed Co2MoPb crystal. Source: the Open Quantum Materials Database, functional PBE.

SG   F-43m, No. 216
DFT total energy   -26.09 eV per cell

a = 4.380 Å, b = 4.380 Å, c = 4.380 Å
α = 60.00°, β = 60.00°, γ = 60.00°
Element x y z (fractional)
Pb 0.500 0.500 0.500
Co 0.000 0.000 0.000
Co 0.750 0.750 0.750
Mo 0.250 0.250 0.250



Entry 3:
A relaxed CoMoPb crystal. Source: the Open Quantum Materials Database, functional PBE.

SG   F-43m, No. 216
DFT total energy   -20.09 eV per cell

a = 4.238 Å, b = 4.238 Å, c = 4.238 Å
α = 60.00°, β = 60.00°, γ = 60.00°
Element x y z (fractional)
Pb 0.750 0.750 0.750
Co 0.000 0.000 0.000
Mo 0.250 0.250 0.250



Entry 4:
A relaxed ScCoMoPb crystal. Source: the Open Quantum Materials Database, functional PBE.

SG   F-43m, No. 216
Energy above the lowest structure with this stoichiometry   0 meV per atom
DFT total energy   -26.59 eV per cell

a = 4.628 Å, b = 4.628 Å, c = 4.628 Å
α = 60.00°, β = 60.00°, γ = 60.00°
Element x y z (fractional)
Mo 0.250 0.250 0.250
Pb 0.000 0.000 0.000
Sc 0.500 0.500 0.500
Co 0.750 0.750 0.750